(1)
PmErTl2 | PBE | optimized geometry

Properties
The crystal system is tetragonal. The value obtained for the total moment is 0.035 μB per formula unit. For the calculated total energy, the calculation gives -15.5 eV per cell.

Lattice parameters (Å, degrees): 3.8096 3.8096 7.6131 90.00 90.00 90.00
Last column: nearest neighbours and their distance in Å.
Space group P4/mmm (No. 123)
Symmetry-distinct sites (fractional):
Pm: 0.0000 0.0000 0.0000 (multiplicity 1)  8 Tl 3.35
Er: 0.0000 0.0000 0.5000 (multiplicity 1)  8 Tl 3.25
Tl: 0.5000 0.5000 0.2616 (multiplicity 2)  4 Er 3.25, 4 Pm 3.35, 1 Tl 3.63

=====

(2)
PmYEr | PBE | optimized geometry

Properties
The crystal system is cubic. The value obtained for the total moment is 0.012 μB per formula unit. As for the energy relative to the elements: 16.43 kcal/mol of atoms. The energy relative to the lowest polymorph listed for this composition comes out at 0.00 eV per formula unit. For the calculated total energy, the calculation gives -54.5 eV per cell.

Lattice parameters (Å, degrees): 7.6964 7.6964 7.6964 90.00 90.00 90.00
Last column: nearest neighbours and their distance in Å.
Space group F-43m (No. 216)
Symmetry-distinct sites (fractional):
Pm: 0.0000 0.0000 0.0000 (multiplicity 4)  4 Er 3.33
Y: 0.0000 0.0000 0.5000 (multiplicity 4)  4 Er 3.33
Er: 0.2500 0.2500 0.2500 (multiplicity 4)  4 Pm 3.33, 4 Y 3.33

=====

- The lowest calculated total energy belongs to which entry?
  PmYEr

=====

- The highest total moment belongs to which entry?
  PmErTl2

=====

- Look up the total moment of the first one.
  0.035 μB per formula unit